[1]
ZnIn2Sb, optimized geometry, DFT GGA-PBE; spin magnetization = 0.00 μB per formula unit; formation energy (no corrections) = 2.90 kcal/mol of atoms; ΔE to the lowest computed polymorph = 58 meV per atom
1.0
4.981 0.000 0.000
0.000 4.981 0.000
0.000 0.000 4.073
Zn In Sb
1 2 1
direct
0.000 0.000 0.000
0.000 0.500 0.500
0.500 0.000 0.500
0.500 0.500 0.000

---

[2]
Zn2InSb2, optimized geometry, DFT GGA-PBE; spin magnetization = 0.00 μB per formula unit; formation energy (no corrections) = 0.77 kcal/mol of atoms
1.0
4.046 0.000 0.000
0.000 4.046 0.000
0.000 0.000 15.611
Zn In Sb
4 2 4
direct
0.000 0.500 0.250
0.000 0.500 0.750
0.500 0.000 0.250
0.500 0.000 0.750
0.000 0.000 0.000
0.500 0.500 0.500
0.000 0.000 0.371
0.000 0.000 0.629
0.500 0.500 0.129
0.500 0.500 0.871

---

[3]
ZnIn4Sb, optimized geometry, DFT GGA-PBE; spin magnetization = 0.00 μB per formula unit; formation energy (no corrections) = 6.45 kcal/mol of atoms
1.0
0.000 4.376 4.376
4.376 0.000 4.376
4.376 4.376 0.000
Zn In Sb
1 4 1
direct
0.000 0.000 0.000
0.125 0.625 0.625
0.625 0.125 0.625
0.625 0.625 0.125
0.625 0.625 0.625
0.250 0.250 0.250

---

[4]
ZnIn2Sb, optimized geometry, DFT GGA-PBE; spin magnetization = 0.00 μB per formula unit; formation energy (no corrections) = 2.17 kcal/mol of atoms; ΔE to the lowest computed polymorph = 26 meV per atom
1.0
4.664 0.000 0.000
0.000 4.996 0.000
0.000 0.000 8.601
Zn In Sb
2 4 2
direct
0.000 0.000 0.000
0.500 0.500 0.000
0.000 0.000 0.502
0.000 0.500 0.785
0.500 0.000 0.785
0.500 0.500 0.502
0.000 0.500 0.219
0.500 0.000 0.219

---

[5]
ZnIn2Sb, optimized geometry, DFT GGA-PBE; spin magnetization = 0.00 μB per formula unit; formation energy (no corrections) = 2.90 kcal/mol of atoms; ΔE to the lowest computed polymorph = 58 meV per atom
1.0
3.888 0.000 0.000
0.000 5.014 0.000
0.000 0.000 5.125
Zn In Sb
1 2 1
direct
0.000 0.000 0.000
0.000 0.500 0.500
0.500 0.000 0.500
0.500 0.500 0.000

---

[6]
ZnIn2Sb, optimized geometry, DFT GGA-PBE; spin magnetization = 0.00 μB per formula unit; formation energy (no corrections) = 2.85 kcal/mol of atoms; ΔE to the lowest computed polymorph = 56 meV per atom
1.0
3.433 0.000 0.000
-1.717 2.973 0.000
0.000 0.000 29.051
Zn In Sb
3 6 3
direct
0.000 0.000 0.000
0.333 0.667 0.667
0.667 0.333 0.333
0.000 0.000 0.260
0.000 0.000 0.740
0.333 0.667 0.407
0.333 0.667 0.926
0.667 0.333 0.074
0.667 0.333 0.593
0.000 0.000 0.500
0.333 0.667 0.167
0.667 0.333 0.833

---

[7]
Zn5In12Sb3, optimized geometry, DFT GGA-PBE; spin magnetization = 0.00 μB per formula unit; formation energy (no corrections) = 3.26 kcal/mol of atoms
1.0
-8.409 8.409 8.409
8.409 -8.409 8.409
8.409 8.409 -8.409
Zn In Sb
20 48 12
direct
0.000 0.000 0.000
0.000 0.000 0.500
0.000 0.500 0.000
0.000 0.500 0.500
0.125 0.750 0.875
0.125 0.875 0.250
0.250 0.125 0.875
0.250 0.625 0.375
0.375 0.250 0.625
0.375 0.625 0.750
0.500 0.000 0.000
0.500 0.000 0.500
0.500 0.500 0.000
0.500 0.500 0.500
0.625 0.375 0.250
0.625 0.750 0.375
0.750 0.375 0.625
0.750 0.875 0.125
0.875 0.125 0.750
0.875 0.250 0.125
0.043 0.215 0.121
0.043 0.329 0.923
0.077 0.621 0.406
0.077 0.957 0.671
0.094 0.715 0.671
0.094 0.879 0.423
0.121 0.043 0.215
0.121 0.577 0.906
0.171 0.215 0.594
0.171 0.457 0.577
0.215 0.121 0.043
0.215 0.594 0.171
0.285 0.329 0.906
0.285 0.457 0.379
0.329 0.906 0.285
0.329 0.923 0.043
0.379 0.285 0.457
0.379 0.594 0.923
0.406 0.077 0.621
0.406 0.829 0.785
0.423 0.094 0.879
0.423 0.829 0.543
0.457 0.379 0.285
0.457 0.577 0.171
0.543 0.423 0.829
0.543 0.621 0.715
0.577 0.171 0.457
0.577 0.906 0.121
0.594 0.171 0.215
0.594 0.923 0.379
0.621 0.406 0.077
0.621 0.715 0.543
0.671 0.077 0.957
0.671 0.094 0.715
0.715 0.543 0.621
0.715 0.671 0.094
0.785 0.406 0.829
0.785 0.879 0.957
0.829 0.543 0.423
0.829 0.785 0.406
0.879 0.423 0.094
0.879 0.957 0.785
0.906 0.121 0.577
0.906 0.285 0.329
0.923 0.043 0.329
0.923 0.379 0.594
0.957 0.671 0.077
0.957 0.785 0.879
0.125 0.250 0.375
0.125 0.375 0.750
0.250 0.375 0.125
0.250 0.875 0.625
0.375 0.125 0.250
0.375 0.750 0.125
0.625 0.250 0.875
0.625 0.875 0.750
0.750 0.125 0.375
0.750 0.625 0.875
0.875 0.625 0.250
0.875 0.750 0.625

---

[8]
ZnInSb2, optimized geometry, DFT GGA-PBE; spin magnetization = 0.00 μB per formula unit; formation energy (no corrections) = 3.52 kcal/mol of atoms
1.0
3.972 0.000 0.000
0.000 5.229 0.000
0.000 0.000 9.660
Zn In Sb
2 2 4
direct
0.000 0.000 0.000
0.500 0.500 0.500
0.000 0.000 0.500
0.500 0.500 0.000
0.000 0.500 0.281
0.000 0.500 0.719
0.500 0.000 0.219
0.500 0.000 0.781

---

[9]
ZnInSb2, optimized geometry, DFT GGA-PBE; spin magnetization = 0.00 μB per formula unit; formation energy (no corrections) = 4.07 kcal/mol of atoms
1.0
3.761 0.000 0.000
0.000 3.761 0.000
0.000 0.000 7.242
Zn In Sb
1 1 2
direct
0.000 0.000 0.000
0.500 0.500 0.232
0.000 0.000 0.538
0.500 0.500 0.765

---

[10]
ZnIn2Sb, optimized geometry, DFT GGA-PBE; spin magnetization = 0.00 μB per formula unit; formation energy (no corrections) = 2.62 kcal/mol of atoms; ΔE to the lowest computed polymorph = 46 meV per atom
1.0
4.699 0.000 0.000
0.000 5.066 0.000
0.000 0.000 8.335
Zn In Sb
2 4 2
direct
0.000 0.000 0.000
0.500 0.500 0.000
0.000 0.500 0.223
0.000 0.500 0.777
0.500 0.000 0.223
0.500 0.000 0.777
0.000 0.000 0.500
0.500 0.500 0.500

---

[11]
ZnIn2Sb, optimized geometry, DFT GGA-PBE; spin magnetization = 0.00 μB per formula unit; formation energy (no corrections) = 2.38 kcal/mol of atoms; ΔE to the lowest computed polymorph = 36 meV per atom
1.0
4.333 0.000 0.000
0.000 5.479 0.000
0.000 0.000 8.526
Zn In Sb
2 4 2
direct
0.000 0.000 0.000
0.500 0.500 0.500
0.000 0.000 0.502
0.000 0.500 0.732
0.500 0.000 0.232
0.500 0.500 0.002
0.000 0.500 0.277
0.500 0.000 0.777

---

[12]
ZnInSb2, optimized geometry, DFT GGA-PBE; spin magnetization = 0.00 μB per formula unit; formation energy (no corrections) = 1.70 kcal/mol of atoms
1.0
7.242 0.000 0.000
0.000 4.206 0.000
-2.389 0.000 6.788
Zn In Sb
2 2 4
direct
0.000 0.000 0.000
0.500 0.500 0.000
0.000 0.500 0.500
0.500 0.000 0.500
0.238 0.500 0.218
0.262 0.000 0.782
0.738 0.000 0.218
0.762 0.500 0.782

---

[13]
ZnInSb2, optimized geometry, DFT GGA-PBE; spin magnetization = 0.00 μB per formula unit; formation energy (no corrections) = 1.29 kcal/mol of atoms
1.0
12.894 0.000 0.000
0.000 5.477 0.000
-3.674 0.000 6.210
Zn In Sb
4 4 8
direct
0.115 0.000 0.008
0.385 0.500 0.992
0.615 0.500 0.008
0.885 0.000 0.992
0.145 0.500 0.545
0.355 0.000 0.455
0.645 0.000 0.545
0.855 0.500 0.455
0.096 0.000 0.374
0.162 0.500 0.967
0.338 0.000 0.033
0.404 0.500 0.626
0.596 0.500 0.374
0.662 0.000 0.967
0.838 0.500 0.033
0.904 0.000 0.626

---

[14]
ZnInSb2, optimized geometry, DFT GGA-PBE; spin magnetization = 0.00 μB per formula unit; formation energy (no corrections) = 4.21 kcal/mol of atoms
1.0
6.360 0.000 0.000
0.000 10.133 0.000
-0.723 0.000 3.147
Zn In Sb
2 2 4
direct
0.000 0.000 0.000
0.500 0.500 0.000
0.000 0.500 0.000
0.500 0.000 0.000
0.250 0.250 0.500
0.250 0.750 0.500
0.750 0.250 0.500
0.750 0.750 0.500

---

[15]
ZnInSb2, optimized geometry, DFT GGA-PBE; spin magnetization = 0.00 μB per formula unit; formation energy (no corrections) = 2.66 kcal/mol of atoms
1.0
3.237 0.000 0.000
0.000 4.089 0.000
-0.340 0.000 7.992
Zn In Sb
1 1 2
direct
0.000 0.000 0.000
0.500 0.000 0.500
0.097 0.500 0.773
0.903 0.500 0.227

---

[16]
ZnIn2Sb, optimized geometry, DFT GGA-PBE; spin magnetization = 0.00 μB per formula unit; formation energy (no corrections) = 2.55 kcal/mol of atoms; ΔE to the lowest computed polymorph = 43 meV per atom
1.0
7.393 0.000 0.000
0.000 7.393 0.000
0.000 0.000 7.393
Zn In Sb
4 8 4
direct
0.000 0.000 0.000
0.000 0.500 0.500
0.500 0.000 0.500
0.500 0.500 0.000
0.000 0.000 0.500
0.000 0.500 0.000
0.250 0.250 0.250
0.250 0.750 0.750
0.500 0.000 0.000
0.500 0.500 0.500
0.750 0.250 0.750
0.750 0.750 0.250
0.250 0.250 0.750
0.250 0.750 0.250
0.750 0.250 0.250
0.750 0.750 0.750

---

[17]
ZnIn2Sb, optimized geometry, DFT GGA-PBE; spin magnetization = 0.00 μB per formula unit; formation energy (no corrections) = 1.56 kcal/mol of atoms; ΔE to the lowest computed polymorph = 0 meV per atom
1.0
4.415 0.000 0.000
-2.208 3.824 0.000
0.000 0.000 18.993
Zn In Sb
3 6 3
direct
0.000 0.000 0.000
0.333 0.667 0.667
0.667 0.333 0.333
0.000 0.000 0.406
0.000 0.000 0.594
0.333 0.667 0.073
0.333 0.667 0.261
0.667 0.333 0.740
0.667 0.333 0.927
0.000 0.000 0.840
0.333 0.667 0.506
0.667 0.333 0.173

---

[18]
ZnInSb2, optimized geometry, DFT GGA-PBE; spin magnetization = 0.00 μB per formula unit; formation energy (no corrections) = 2.46 kcal/mol of atoms
1.0
8.258 0.000 0.000
0.000 3.283 0.000
-0.427 0.000 7.709
Zn In Sb
2 2 4
direct
0.000 0.000 0.000
0.500 0.500 0.000
0.277 0.000 0.773
0.777 0.500 0.773
0.052 0.500 0.521
0.220 0.500 0.193
0.552 0.000 0.521
0.720 0.000 0.193

---

[19]
ZnInSb2, optimized geometry, DFT GGA-PBE; spin magnetization = 0.00 μB per formula unit; formation energy (no corrections) = 2.10 kcal/mol of atoms
1.0
4.342 0.000 0.000
-2.171 3.760 0.000
0.000 0.000 19.470
Zn In Sb
3 3 6
direct
0.000 0.000 0.000
0.333 0.667 0.667
0.667 0.333 0.333
0.000 0.000 0.833
0.333 0.667 0.499
0.667 0.333 0.166
0.000 0.000 0.404
0.000 0.000 0.594
0.333 0.667 0.070
0.333 0.667 0.260
0.667 0.333 0.737
0.667 0.333 0.927

---

[20]
ZnInSb2, optimized geometry, DFT GGA-PBE; spin magnetization = 0.00 μB per formula unit; formation energy (no corrections) = 2.57 kcal/mol of atoms
1.0
3.404 0.000 0.000
-1.702 2.948 0.000
0.000 0.000 30.673
Zn In Sb
3 3 6
direct
0.000 0.000 0.000
0.333 0.667 0.667
0.667 0.333 0.333
0.000 0.000 0.500
0.333 0.667 0.167
0.667 0.333 0.833
0.000 0.000 0.264
0.000 0.000 0.736
0.333 0.667 0.403
0.333 0.667 0.931
0.667 0.333 0.069
0.667 0.333 0.597